[1]
The following is a PBE calculation of a geometry-optimized CoCuRe2 structure, from the Alexandria database.

Lattice parameters (Å, degrees): 4.568 4.568 4.568 131.30 131.30 71.34
Fractional coordinates of all 4 atoms:
Re (0.000, 0.000, 0.000)
Re (0.750, 0.250, 0.500)
Co (0.500, 0.500, 0.000)
Cu (0.250, 0.750, 0.500)

## Properties
Calculated volume in A^3/atom: 13.2
Energy in eV/atom: -8.836
Formation enthalpy at 0 K in meV per atom: 188

[2]
The following is a PBE calculation of a geometry-optimized B2OsF structure, from the Alexandria database.

Lattice parameters (Å, degrees): 3.826 3.826 3.826 60.00 60.00 60.00
Site moments in Bohr magnetons follow the coordinates.
Fractional coordinates of all 4 atoms:
Os (0.500, 0.500, 0.500)  0.63
B (0.250, 0.250, 0.250)  -0.03
B (0.750, 0.750, 0.750)  -0.03
F (0.000, 0.000, 0.000)  0.12

## Properties
Formation energy without anion corrections in eV/atom: 1.1836
Calculated volume in A^3/atom: 9.9
Energy in eV/atom: -5.430

[3]
The following is a PBE calculation of a geometry-optimized LaSbHRh2 structure, from the Alexandria database.

Lattice parameters (Å, degrees): 4.179 6.072 7.401 90.00 90.00 110.13
Fractional coordinates of all 10 atoms:
Rh (0.154, 0.308, 0.547)
Rh (0.154, 0.308, 0.953)
Rh (0.846, 0.692, 0.047)
Rh (0.846, 0.692, 0.453)
Sb (0.714, 0.428, 0.750)
Sb (0.286, 0.572, 0.250)
H (0.000, 0.000, 0.500)
H (0.000, 0.000, 0.000)
La (0.567, 0.134, 0.250)
La (0.433, 0.866, 0.750)

## Properties
Calculated volume in A^3/atom: 17.6
Energy in eV/atom: -6.150

[4]
The following is a PBE calculation of a geometry-optimized LiNdLuBe structure, from the Alexandria database.

Lattice parameters (Å, degrees): 5.018 5.018 5.018 60.00 60.00 60.00
Fractional coordinates of all 4 atoms:
Nd (0.750, 0.750, 0.750)
Lu (0.250, 0.250, 0.250)
Li (0.000, 0.000, 0.000)
Be (0.500, 0.500, 0.500)

## Properties
Calculated volume in A^3/atom: 22.3
Energy in eV/atom: -3.582
Formation enthalpy at 0 K in meV per atom: 150

[5]
The following is a PBE calculation of a geometry-optimized TlSbPF structure, from the Alexandria database.

Lattice parameters (Å, degrees): 3.475 3.499 8.223 90.67 111.65 90.02
Fractional coordinates of all 4 atoms:
P (0.317, 0.420, 0.541)
F (0.758, 0.426, 0.062)
Tl (0.121, 0.925, 0.924)
Sb (0.686, 0.914, 0.385)

## Properties
Formation energy without anion corrections in eV/atom: -0.5945
Calculated volume in A^3/atom: 23.2
Energy in eV/atom: -4.037

[6]
The following is a PBE calculation of a geometry-optimized La3Co3Hg structure, from the Alexandria database.

Lattice parameters (Å, degrees): 3.872 10.037 10.037 120.00 90.00 90.00
Site moments in Bohr magnetons follow the coordinates.
Fractional coordinates of all 14 atoms:
Hg (0.750, 0.333, 0.667)  0.01
Hg (0.250, 0.667, 0.333)  0.01
Co (0.250, 0.867, 0.024)  0.38
Co (0.750, 0.843, 0.867)  0.38
Co (0.750, 0.133, 0.976)  0.38
Co (0.750, 0.024, 0.157)  0.38
Co (0.250, 0.157, 0.133)  0.38
Co (0.250, 0.976, 0.843)  0.38
La (0.750, 0.371, 0.305)  -0.04
La (0.250, 0.305, 0.934)  -0.04
La (0.250, 0.629, 0.695)  -0.04
La (0.750, 0.695, 0.066)  -0.04
La (0.250, 0.066, 0.371)  -0.04
La (0.750, 0.934, 0.629)  -0.04

## Properties
Calculated volume in A^3/atom: 24.1
Energy in eV/atom: -5.367
Formation enthalpy at 0 K in meV per atom: -167

- The highest calculated volume belongs to which entry?
  La3Co3Hg

- Which of these has the highest calculated volume?
  La3Co3Hg

- calculated volume of number 6 (La3Co3Hg)?
  24.1 A^3/atom